The following is a PBE calculation of crystalline ReGe3Pd at its relaxed geometry, from Alexandria.

a b c (Å): 4.801 4.801 4.801
angles (deg): 90.00 90.00 90.00
Space group Pm-3m (No. 221)
Inequivalent atoms, fractional coordinates:
1 Re 0.000 0.000 0.000 x1
2 Ge 0.000 0.000 0.500 x3
3 Pd 0.500 0.500 0.500 x1

Values from the calculation:
Magnetic moment = 0.000 μB per atom
Raw total energy = -0.42760 Ry/atom
DFT formation energy = 0.48 eV/atom